First-principles (PBE) data for UC after structural relaxation, as listed in the Open Quantum Materials Database.

Lattice parameters (Å, degrees): 3.4859 3.4859 3.4859 120.00 90.00 120.00
Fractional coordinates of all 2 atoms:
C  0.5000  0.0000  0.5000
U  0.0000  0.0000  0.0000

Output
* excess energy over the best structure of this formula in the dataset: 0.0 kJ/mol of formula units
* symmetry: Fm-3m (225)


First-principles (PBE) data for UW2C2 after structural relaxation, as listed in the Open Quantum Materials Database.

Lattice parameters (Å, degrees): 9.2729 9.2729 4.8811 90.00 90.00 90.00
Fractional coordinates of all 20 atoms:
C  0.7634  0.9978  0.5000
C  0.7368  0.5031  0.0000
C  0.4969  0.7368  0.0000
C  0.5031  0.2632  0.0000
C  0.2632  0.4969  0.0000
C  0.9978  0.2366  0.5000
C  0.2366  0.0022  0.5000
C  0.0022  0.7634  0.5000
W  0.2962  0.2912  0.0000
W  0.7038  0.7088  0.0000
W  0.7955  0.7919  0.5000
W  0.2081  0.7955  0.5000
W  0.7919  0.2045  0.5000
W  0.2912  0.7038  0.0000
W  0.2045  0.2081  0.5000
W  0.7088  0.2962  0.0000
U  0.0000  0.5000  0.5000
U  0.0000  0.5000  0.0000
U  0.5000  0.0000  0.0000
U  0.5000  0.0000  0.5000

Output
* symmetry: I4/m (87)
* energy: -48.5 eV/f.u.